VASP calculation (PBE) on a relaxed structure of LiMn2In.

Cell and atoms, written as POSCAR:
```
LiMn2In
1.0
-2.6236 2.4391 2.5589
-1.9581 -2.0174 -0.0846
1.1847 -3.1469 4.2143
In Li Mn
1 1 2
direct
0.5000 0.2500 0.2500
0.5000 0.7500 0.7500
0.0000 0.9216 0.9791
0.0000 0.5784 0.5209
```

Formation energy from the elements in eV/atom: 0.28
Symmetry: P2/m (10)
Energy in eV/atom: -5.47
Size of the total moment in μB per formula unit: 6.882


VASP calculation (PBE) on a relaxed structure of LiMn2InMo.

Cell and atoms, written as POSCAR:
```
LiMn2InMo
1.0
4.7045 0.0000 0.0000
0.0000 5.3270 0.0000
0.0000 0.0000 4.7045
Mo Mn Li In
1 2 1 1
direct
0.0000 0.0000 0.0000
0.0000 0.0000 0.5000
0.5000 0.0000 0.0000
0.5000 0.5000 0.5000
0.0000 0.5000 0.0000
```

Formation energy from the elements in eV/atom: 0.88
Symmetry: P4/mmm (123)
Energy in eV/atom: -5.89
Size of the total moment in μB per formula unit: 6.395


Q: Which formula does entry 1 have?
A: LiMn2In